No. 1
# CsPmHg2, relaxed, DFT GGA-PBE
data_CsPmHg2
_space_group_name_H-M_alt 'P 4/m m m'
_space_group_IT_number 123
_space_group_name_Hall '-P 4 2'
_cell_length_a 3.960
_cell_length_b 3.960
_cell_length_c 8.976
_cell_angle_alpha 90.00
_cell_angle_beta 90.00
_cell_angle_gamma 90.00
loop_
_atom_site_label
_atom_site_type_symbol
_atom_site_fract_x
_atom_site_fract_y
_atom_site_fract_z
Cs1 Cs 0.000 0.000 0.000
Pm1 Pm 0.000 0.000 0.500
Hg1 Hg 0.500 0.500 0.314
# DFT formation energy, meV per atom: -259
# ρ, g/cm³: 8.0
# Total magnetization, μB/f.u.: 0.00

---

No. 2
# CsPmHg2S4, relaxed, DFT GGA-PBE
data_CsPmHg2S4
_space_group_name_H-M_alt 'I 2 2 2'
_space_group_IT_number 23
_cell_length_a 6.940
_cell_length_b 8.363
_cell_length_c 9.327
_cell_angle_alpha 90.00
_cell_angle_beta 90.00
_cell_angle_gamma 90.00
loop_
_space_group_symop_operation_xyz
'x,y,z'
'-x,-y,z'
'x,-y,-z'
'-x,y,-z'
'x+1/2,y+1/2,z+1/2'
'-x+1/2,-y+1/2,z+1/2'
'x+1/2,-y+1/2,-z+1/2'
'-x+1/2,y+1/2,-z+1/2'
loop_
_atom_site_label
_atom_site_type_symbol
_atom_site_fract_x
_atom_site_fract_y
_atom_site_fract_z
Cs1 Cs 0.000 0.000 0.000
Pm1 Pm 0.000 0.000 0.500
Hg1 Hg 0.000 0.500 0.178
S1 S 0.230 0.174 0.324
# ρ, g/cm³: 5.0
# Uncorrected formation energy, eV per atom: -0.9073
# Total magnetization, μB/f.u.: 0.00